Below is a relaxed FeReI2O crystal, with properties calculated at the GGA+U level.

Results
The crystal system is tetragonal.

Cell: 5.6701 5.6701 3.6289 Å, 90.00 90.00 90.00°
Space group P4/mmm (No. 123)
One atom of each set of equivalent atoms:
Fe1 0.0000 0.0000 0.0000
Re1 0.5000 0.5000 0.5000
I1 0.0000 0.5000 0.0000
O1 0.0000 0.0000 0.5000

Below is a relaxed FeReIO2 crystal, with properties calculated at the GGA+U level.

Results
The crystal system is tetragonal.

Cell: 3.8978 3.8978 6.0322 Å, 90.00 90.00 90.00°
Space group P4/mmm (No. 123)
One atom of each set of equivalent atoms:
Fe1 0.0000 0.0000 0.0000
Re1 0.5000 0.5000 0.5000
I1 0.0000 0.0000 0.5000
O1 0.0000 0.5000 0.0000

| no. | distance to the lowest polymorph of the same formula (meV per atom) | magnetic moment (μB per cell) |
| --- | --- | --- |
| 1 | 539 | 7.87 |
| 2 | 915 | 9.05 |